12
Lattice="3.113 -5.389 0.000 3.113 5.389 0.000 -2.066 0.000 11.693" Properties=species:S:1:pos:R:3 comment="PmNd3Y6Tm2 | the Alexandria database | PBE | relaxed" volume_a3_per_atom=32.69 pbc="T T T"
Pm 0.000 0.000 0.000
Nd 2.080 3.590 5.846
Nd 2.080 0.000 5.846
Nd 2.080 -3.590 5.846
Y 1.044 1.799 2.885
Y 0.010 0.000 8.808
Y 1.044 -1.799 2.885
Y 3.116 1.799 8.807
Y 4.149 0.000 2.885
Y 3.116 -1.799 8.807
Tm 3.113 1.797 0.000
Tm 3.113 -1.797 0.000

20
Lattice="4.633 -7.667 0.000 4.633 7.667 0.000 -1.306 0.000 9.632" Properties=species:S:1:pos:R:3 comment="PmNd6YTm2 | the Alexandria database | PBE | relaxed" volume_a3_per_atom=34.21 pbc="T T T"
Pm 3.654 6.259 7.224
Pm 4.307 -6.259 2.408
Nd 3.218 6.028 3.662
Nd 2.440 3.459 1.778
Nd 5.395 6.028 1.154
Nd 3.324 2.710 5.334
Nd 3.983 2.710 9.113
Nd 6.173 3.459 3.038
Nd 1.787 -3.459 6.594
Nd 3.977 -2.710 0.518
Nd 4.636 -2.710 4.298
Nd 2.565 -6.028 8.478
Nd 5.520 -3.459 7.854
Nd 4.742 -6.028 5.970
Y 4.307 0.438 2.408
Y 3.654 -0.438 7.224
Tm 1.104 0.758 9.189
Tm 1.757 -0.758 4.373
Tm 6.203 0.758 5.259
Tm 6.856 -0.758 0.443

| no. | Fermi-level density of states (states/eV/f.u.) | M_tot (μB per cell) | E_form (eV/f.u.) |
| --- | --- | --- | --- |
| 1 | 16.7 | 0.00 | 0.22 |
| 2 | 15.0 | 0.00 | 1.13 |